# Ac4ZnGa3O12

An optimized crystal structure of Ac4ZnGa3O12 (PBE-GGA, Alexandria). Values from VASP.

Geometry as Quantum ESPRESSO input:
```
&SYSTEM
  ibrav = 0, nat = 20, ntyp = 4
/
ATOMIC_SPECIES
Ac 227.00 Ac.upf
Zn 65.41 Zn.upf
Ga 69.72 Ga.upf
O 16.00 O.upf
ATOMIC_POSITIONS crystal
Ac 0.0000 0.0000 0.5000
Ac 0.0000 0.5000 0.0000
Ac 0.5000 0.0000 0.0000
Ac 0.5000 0.5000 0.5000
Zn 0.0000 0.0000 0.0000
Ga 0.0000 0.5000 0.5000
Ga 0.5000 0.0000 0.5000
Ga 0.5000 0.5000 0.0000
O 0.0000 0.2556 0.2556
O 0.0000 0.7444 0.7444
O 0.2500 0.5000 0.7500
O 0.2500 0.7500 0.5000
O 0.2556 0.0000 0.2556
O 0.2556 0.2556 0.0000
O 0.5000 0.2500 0.7500
O 0.5000 0.7500 0.2500
O 0.7444 0.0000 0.7444
O 0.7444 0.7444 0.0000
O 0.7500 0.2500 0.5000
O 0.7500 0.5000 0.2500
CELL_PARAMETERS angstrom
-3.9888 3.9888 3.9888
3.9888 -3.9888 3.9888
3.9888 3.9888 -3.9888
```

**Uncorrected formation energy**: -2.508 eV/atom
**SG**: Im-3m
**Final energy**: -6.822 eV per atom
**Size of the total moment**: 0.000 μB per atom